Record 1
A geometry-optimized Nb2Ni2Ru structure, computed with PBE.

a b c (Å): 4.7975 5.2607 7.1877
angles (deg): 66.18 70.50 62.87
With the nearest neighbours (Å) after each atom.
Element x y z (fractional)
Nb  0.1766  0.7078  0.6381  2 Ru 2.59-2.64, 6 Ni 2.63-2.81
Nb  0.4775  0.2078  0.1381  2 Ru 2.59-2.64, 6 Ni 2.63-2.81
Nb  0.5225  0.7922  0.8619  2 Ru 2.59-2.64, 6 Ni 2.63-2.81
Nb  0.8234  0.2922  0.3619  2 Ru 2.59-2.64, 6 Ni 2.63-2.81
Ni  0.7253  0.7691  0.4517  3 Ni 2.58-2.88, 6 Nb 2.63-2.81, 2 Ru 2.65-2.74
Ni  0.9460  0.7309  0.0483  3 Ni 2.58-2.88, 6 Nb 2.63-2.81, 2 Ru 2.65-2.74
Ni  0.2747  0.2309  0.5483  3 Ni 2.58-2.88, 6 Nb 2.63-2.81, 2 Ru 2.65-2.74
Ni  0.0540  0.2691  0.9517  3 Ni 2.58-2.88, 6 Nb 2.63-2.81, 2 Ru 2.65-2.74
Ru  0.3042  0.7500  0.2500  4 Nb 2.59-2.64, 4 Ni 2.65-2.74
Ru  0.6958  0.2500  0.7500  4 Nb 2.59-2.64, 4 Ni 2.65-2.74

Symmetry: No. 15
E_form in eV per atom: -0.159
Energy in eV/atom: -8.354
Fermi-level density of states in states/eV/cell: 10.33
Magnetic moment in μB per cell: 0.00

Record 2
A geometry-optimized Zr2HgAs structure, computed with PBE.

a b c (Å): 3.7048 3.7048 7.8701
angles (deg): 76.39 76.39 60.00
With the nearest neighbours (Å) after each atom.
Element x y z (fractional)
As  0.6674  0.6674  0.9979  6 Zr 2.64-2.66
Hg  0.4993  0.4993  0.5020  6 Zr 3.08-3.10
Zr  0.0686  0.0686  0.7941  3 As 2.64
Zr  0.2646  0.2646  0.2060  3 As 2.66

Symmetry: No. 160
E_form in eV per atom: -0.549
Energy in eV/atom: -6.061
Fermi-level density of states in states/eV/cell: 3.35
Magnetic moment in μB per cell: 0.00

Record 3
A geometry-optimized VNi2PtS structure, computed with PBE.

a b c (Å): 4.0845 4.2854 4.0845
angles (deg): 90.00 90.00 90.00
With the nearest neighbours (Å) after each atom.
Element x y z (fractional)
Ni  0.5000  0.0000  0.0000  2 S 2.04
Ni  0.0000  0.0000  0.5000  2 S 2.04
S  0.0000  0.0000  0.0000  4 Ni 2.04, 2 V 2.14
Pt  0.5000  0.5000  0.5000  4 V 2.89, 8 Ni 2.96
V  0.0000  0.5000  0.0000  2 S 2.14

Formation energy without anion corrections in eV/atom: 0.031
Symmetry: No. 123
Energy in eV/atom: -6.139
Fermi-level density of states in states/eV/cell: 6.91
Magnetic moment in μB per cell: 0.00

Record 4
A geometry-optimized CeBeZnAu6 structure, computed with PBE.

a b c (Å): 7.1673 8.8064 7.9087
angles (deg): 123.83 116.94 90.00
With the nearest neighbours (Å) after each atom.
Element x y z (fractional)
Au  0.5721  0.8221  0.1443  2 Be 2.34
Au  0.0891  0.8683  0.7509  1 Be 2.47, 1 Zn 2.66, 1 Au 2.75
Au  0.9109  0.1317  0.2491  1 Be 2.47, 1 Zn 2.66, 1 Au 2.75
Au  0.0891  0.3825  0.7509  1 Be 2.47, 1 Zn 2.66, 1 Au 2.75
Au  0.0086  0.7586  0.0172  8 Au 3.01-3.02, 2 Zn 3.21, 1 Ce 3.24
Au  0.9914  0.2414  0.9828  8 Au 3.01-3.02, 2 Zn 3.21, 1 Ce 3.24
Au  0.6618  0.8683  0.7509  1 Be 2.47, 1 Zn 2.66, 1 Au 2.75
Au  0.9109  0.6175  0.2491  1 Be 2.47, 1 Zn 2.66, 1 Au 2.75
Au  0.4279  0.1779  0.8557  2 Be 2.34
Au  0.3382  0.6175  0.2491  1 Be 2.47, 1 Zn 2.66, 1 Au 2.75
Au  0.3382  0.1317  0.2491  1 Be 2.47, 1 Zn 2.66, 1 Au 2.75
Au  0.6618  0.3825  0.7509  1 Be 2.47, 1 Zn 2.66, 1 Au 2.75
Ce  0.7148  0.4648  0.4295  10 Au 3.13-3.24, 2 Be 3.23
Ce  0.2852  0.5352  0.5705  10 Au 3.13-3.24, 2 Be 3.23
Zn  0.0000  0.0000  0.5000  6 Au 2.65-2.66
Zn  0.5000  0.0000  0.5000  6 Au 2.65-2.66
Be  0.5000  0.0000  0.0000  6 Au 2.34-2.47
Be  0.5000  0.5000  0.0000  6 Au 2.34-2.47

Symmetry: No. 74
E_form in eV per atom: -0.225
Energy in eV/atom: -3.625
Fermi-level density of states in states/eV/cell: 17.07
Magnetic moment in μB per cell: 1.68

Record 5
A geometry-optimized NaBi3Se4 structure, computed with PBE.

a b c (Å): 4.1663 7.5838 7.5838
angles (deg): 107.02 90.00 90.00
With the nearest neighbours (Å) after each atom.
Element x y z (fractional)
Bi  0.0000  0.5000  0.0000  6 Se 3.05-3.07
Bi  0.0000  0.0000  0.5000  6 Se 3.05-3.07
Bi  0.5000  0.5000  0.5000  6 Se 2.99-3.01
Na  0.5000  0.0000  0.0000  6 Se 3.09-3.15
Se  0.0000  0.7380  0.7380  4 Bi 2.99-3.05, 2 Na 3.15
Se  0.0000  0.2620  0.2620  4 Bi 2.99-3.05, 2 Na 3.15
Se  0.5000  0.7465  0.2535  5 Bi 3.01-3.07, 1 Na 3.09
Se  0.5000  0.2535  0.7465  5 Bi 3.01-3.07, 1 Na 3.09

Formation energy without anion corrections in eV/atom: -0.437
Symmetry: No. 65
Energy in eV/atom: -3.800
Fermi-level density of states in states/eV/cell: 3.60
Magnetic moment in μB per cell: 0.00

Record 6
A geometry-optimized Ca3Tl3Ag2 structure, computed with PBE.

a b c (Å): 3.8301 8.1103 8.1103
angles (deg): 120.00 90.00 90.00
With the nearest neighbours (Å) after each atom.
Element x y z (fractional)
Ca  0.5000  0.0000  0.6029  4 Ag 3.14, 6 Tl 3.40-3.50
Ca  0.5000  0.3971  0.3971  4 Ag 3.14, 6 Tl 3.40-3.50
Ca  0.5000  0.6029  0.0000  4 Ag 3.14, 6 Tl 3.40-3.50
Tl  0.0000  0.0000  0.2413  2 Ag 3.14, 2 Tl 3.39, 6 Ca 3.40-3.50
Tl  0.0000  0.7587  0.7587  2 Ag 3.14, 2 Tl 3.39, 6 Ca 3.40-3.50
Tl  0.0000  0.2413  0.0000  2 Ag 3.14, 2 Tl 3.39, 6 Ca 3.40-3.50
Ag  0.0000  0.6667  0.3333  6 Ca 3.14, 3 Tl 3.14
Ag  0.0000  0.3333  0.6667  6 Ca 3.14, 3 Tl 3.14

Symmetry: No. 189
E_form in eV per atom: -0.312
Energy in eV/atom: -2.662
Fermi-level density of states in states/eV/cell: 3.22
Magnetic moment in μB per cell: 0.00

Record 7
A geometry-optimized TiCuPd2Au2 structure, computed with PBE.

a b c (Å): 5.4833 6.9061 5.1332
angles (deg): 96.68 90.00 90.00
With the nearest neighbours (Å) after each atom.
Element x y z (fractional)
Ti  0.2500  0.8309  0.3179  2 Pd 2.43-2.59
Ti  0.7500  0.1691  0.6821  2 Pd 2.43-2.59
Pd  0.7500  0.4884  0.5274  1 Ti 2.43, 2 Cu 2.57-2.58
Pd  0.2500  0.5116  0.4726  1 Ti 2.43, 2 Cu 2.57-2.58
Pd  0.7500  0.8613  0.3406  3 Ti 2.59-2.75, 1 Cu 2.73, 1 Pd 2.85, 2 Au 2.88
Pd  0.2500  0.1387  0.6594  3 Ti 2.59-2.75, 1 Cu 2.73, 1 Pd 2.85, 2 Au 2.88
Au  0.0005  0.1907  0.1710  3 Au 2.74-2.99, 2 Cu 2.77, 3 Ti 2.85-3.01, 5 Pd 2.88-2.95
Au  0.9995  0.8093  0.8290  3 Au 2.74-2.99, 2 Cu 2.77, 3 Ti 2.85-3.01, 5 Pd 2.88-2.95
Au  0.4995  0.1907  0.1710  3 Au 2.74-2.99, 2 Cu 2.77, 3 Ti 2.85-3.01, 5 Pd 2.88-2.95
Au  0.5005  0.8093  0.8290  3 Au 2.74-2.99, 2 Cu 2.77, 3 Ti 2.85-3.01, 5 Pd 2.88-2.95
Cu  0.2500  0.4878  0.9679  3 Pd 2.57-2.73, 2 Cu 2.76, 4 Au 2.77, 1 Ti 2.80
Cu  0.7500  0.5122  0.0321  3 Pd 2.57-2.73, 2 Cu 2.76, 4 Au 2.77, 1 Ti 2.80

Symmetry: No. 11
E_form in eV per atom: -0.233
Energy in eV/atom: -5.055
Fermi-level density of states in states/eV/cell: 6.57
Magnetic moment in μB per cell: 0.00

Record 8
A geometry-optimized Sc2SbTe structure, computed with PBE.

a b c (Å): 5.1375 5.1375 5.1375
angles (deg): 60.00 60.00 60.00
With the nearest neighbours (Å) after each atom.
Element x y z (fractional)
Sc  0.2500  0.2500  0.2500  4 Sb 3.15, 4 Te 3.15
Sc  0.7500  0.7500  0.7500  4 Sb 3.15, 4 Te 3.15
Te  0.5000  0.5000  0.5000  8 Sc 3.15
Sb  0.0000  0.0000  0.0000  8 Sc 3.15

Formation energy without anion corrections in eV/atom: -0.752
Symmetry: No. 225
Energy in eV/atom: -5.733
Fermi-level density of states in states/eV/cell: 4.30
Magnetic moment in μB per cell: 0.90

Record 9
A geometry-optimized TaFe2Ni structure, computed with PBE.

a b c (Å): 2.6477 2.6477 7.5636
angles (deg): 90.00 90.00 90.00
With the nearest neighbours (Å) after each atom.
Element x y z (fractional)
Ni  0.5000  0.5000  0.2500  8 Fe 2.51, 4 Ni 2.65
Fe  0.0000  0.0000  0.0291  4 Ni 2.51, 4 Fe 2.65
Fe  0.0000  0.0000  0.4709  4 Ni 2.51, 4 Fe 2.65
Ta  0.5000  0.5000  0.7500  4 Ta 2.65, 8 Fe 2.82

Symmetry: No. 123
E_form in eV per atom: 0.077
Energy in eV/atom: -8.563
Fermi-level density of states in states/eV/cell: 3.42
Magnetic moment in μB per cell: 5.30

Record 10
A geometry-optimized ZnCuO structure, computed with PBE.

a b c (Å): 3.2041 9.3985 5.0926
angles (deg): 90.00 90.00 90.00
With the nearest neighbours (Å) after each atom.
Element x y z (fractional)
Cu  0.5000  0.0000  0.2385  2 Cu 2.42, 4 Zn 2.50
Cu  0.0000  0.0000  0.5945  2 O 2.03
Cu  0.5000  0.5000  0.0945  2 O 2.03
Cu  0.0000  0.5000  0.7385  2 Cu 2.42, 4 Zn 2.50
O  0.5000  0.6813  0.3099  3 Zn 2.00-2.03, 1 Cu 2.03
O  0.0000  0.1813  0.8099  3 Zn 2.00-2.03, 1 Cu 2.03
O  0.5000  0.3187  0.3099  3 Zn 2.00-2.03, 1 Cu 2.03
O  0.0000  0.8187  0.8099  3 Zn 2.00-2.03, 1 Cu 2.03
Zn  0.0000  0.7966  0.2070  3 O 2.00-2.03
Zn  0.5000  0.7034  0.7070  3 O 2.00-2.03
Zn  0.5000  0.2966  0.7070  3 O 2.00-2.03
Zn  0.0000  0.2034  0.2070  3 O 2.00-2.03

Formation energy without anion corrections in eV/atom: -0.582
Symmetry: No. 44
Energy in eV/atom: -4.025
Fermi-level density of states in states/eV/cell: 1.26
Magnetic moment in μB per cell: 0.00

Record 11
A geometry-optimized TaCd2Sb structure, computed with PBE.

a b c (Å): 5.4074 5.4074 5.5668
angles (deg): 82.90 82.90 32.28
With the nearest neighbours (Å) after each atom.
Element x y z (fractional)
Cd  0.2632  0.2632  0.2137  5 Cd 2.93-3.08, 1 Sb 3.11, 4 Ta 3.16-3.18
Cd  0.0143  0.0143  0.0196  5 Cd 2.93-3.08, 2 Ta 3.09, 4 Sb 3.09-3.27
Ta  0.7402  0.7402  0.7214  3 Sb 2.97-2.99, 2 Ta 3.01, 6 Cd 3.09-3.18
Sb  0.4823  0.4823  0.5454  3 Ta 2.97-2.99, 2 Sb 3.01, 5 Cd 3.09-3.27

Formation energy without anion corrections in eV/atom: 0.259
Symmetry: No. 8
Energy in eV/atom: -4.192
Fermi-level density of states in states/eV/cell: 1.18
Magnetic moment in μB per cell: 0.00

Record 12
A geometry-optimized Hg2PdAuO4 structure, computed with PBE.

a b c (Å): 5.3539 5.3539 5.3539
angles (deg): 103.81 112.37 112.37
With the nearest neighbours (Å) after each atom.
Element x y z (fractional)
O  0.4922  0.9259  0.8890  1 Pd 2.04
O  0.0369  0.1110  0.6032  1 Pd 2.04
O  0.9631  0.5663  0.0741  1 Pd 2.04
O  0.5078  0.3968  0.4337  1 Pd 2.04
Pd  0.5000  0.2500  0.7500  4 O 2.04
Hg  0.0000  0.0000  0.0000  4 O 2.40
Hg  0.5000  0.7500  0.2500  4 O 2.34
Au  0.0000  0.5000  0.5000  4 O 2.34

Formation energy without anion corrections in eV/atom: 0.076
Symmetry: No. 82
Energy in eV/atom: -3.537
Fermi-level density of states in states/eV/cell: 5.53
Magnetic moment in μB per cell: 0.00

- Look up the energy of the third one.
  -6.139 eV/atom

- Number 8 is which compound?
  Sc2SbTe

- The highest magnetic moment belongs to which entry?
  TaFe2Ni

- energy of number 5 (NaBi3Se4)?
  -3.800 eV/atom